DyCr2AgO8 after structural relaxation. Source: Alexandria via LeMat-Bulk, functional PBE+U.

a = 6.024 Å, b = 6.024 Å, c = 6.024 Å
α = 106.09°, β = 106.09°, γ = 116.47°
Element x y z (fractional)
Dy  0.000  0.000  0.000
Cr  0.500  0.500  0.000
Cr  0.750  0.250  0.500
Ag  0.250  0.750  0.500
O  0.331  0.153  0.822
O  0.331  0.508  0.178
O  0.411  0.101  0.310
O  0.492  0.669  0.822
O  0.791  0.101  0.690
O  0.847  0.669  0.178
O  0.899  0.209  0.310
O  0.899  0.589  0.690

Calculated values
energy	-6.755	eV/atom
magnetic moment	0.00	μB per formula unit
volume	166	Å³/cell